{"formula": "Pm2MgPd9", "functional": "PBE-GGA", "state": "relaxed", "formation_enthalpy_0k_ev_per_atom": -0.67, "lattice": [[4.1609, 0.0000, 0.0000], [0.0000, 4.1609, 0.0000], [0.0000, 0.0000, 12.0904]], "species": ["Pm", "Pm", "Pd", "Pd", "Pd", "Pd", "Pd", "Pd", "Pd", "Pd", "Pd", "Mg"], "fractional_positions": [[0.0000, 0.0000, 0.3249], [0.0000, 0.0000, 0.6751], [0.5000, 0.5000, 0.6721], [0.5000, 0.0000, 0.5000], [0.0000, 0.5000, 0.5000], [0.5000, 0.0000, 0.8470], [0.0000, 0.5000, 0.1530], [0.5000, 0.0000, 0.1530], [0.5000, 0.5000, 0.3279], [0.5000, 0.5000, 0.0000], [0.0000, 0.5000, 0.8470], [0.0000, 0.0000, 0.0000]]}